[1]
Crystalline Pr6YZn2 at its relaxed geometry. Source: Alexandria, functional PBE-GGA.

## Properties
Energy of formation (meV/atom): -134.5
Spin magnetization (μB per cell): 0.000

Geometry as CIF:
```
data_Pr6YZn2
_symmetry_space_group_name_H-M 'C 1 2/m 1'
_symmetry_Int_Tables_number 12
_cell_length_a 12.956
_cell_length_b 3.752
_cell_length_c 12.212
_cell_angle_alpha 90.00
_cell_angle_beta 109.83
_cell_angle_gamma 90.00
loop_
_symmetry_equiv_pos_as_xyz
'x,y,z'
'-x,-y,-z'
'-x,y,-z'
'x,-y,z'
'x+1/2,y+1/2,z'
'-x+1/2,-y+1/2,-z'
'-x+1/2,y+1/2,-z'
'x+1/2,-y+1/2,z'
loop_
_atom_site_label
_atom_site_type_symbol
_atom_site_fract_x
_atom_site_fract_y
_atom_site_fract_z
Pr1 Pr 0.029 0.000 0.325
Pr2 Pr 0.188 0.500 0.593
Pr3 Pr 0.189 0.500 0.876
Y1 Y 0.000 0.000 0.000
Zn1 Zn 0.143 0.500 0.193
```


[2]
Crystalline La8NiS3Br4 at its relaxed geometry. Source: Alexandria, functional PBE-GGA.

## Properties
Total DFT energy (no corrections) (eV/atom): -5.54
Spin magnetization (μB per cell): 0.000

Geometry as CIF:
```
data_La8NiS3Br4
_symmetry_space_group_name_H-M 'R -3 m'
_symmetry_Int_Tables_number 166
_symmetry_space_group_name_Hall '-R 3 2"'
_cell_length_a 8.3648
_cell_length_b 8.3648
_cell_length_c 22.0169
_cell_angle_alpha 90.00
_cell_angle_beta 90.00
_cell_angle_gamma 120.00
loop_
_atom_site_label
_atom_site_type_symbol
_atom_site_fract_x
_atom_site_fract_y
_atom_site_fract_z
La1 La 0.0000 0.0000 0.2368
La2 La 0.0026 0.5013 0.2370
Ni1 Ni 0.0000 0.0000 0.5000
S1 S 0.0000 0.5000 0.5000
Br1 Br 0.0000 0.0000 0.0000
Br2 Br 0.0000 0.5000 0.0000
```


[3]
Crystalline ScInHg2 at its relaxed geometry. Source: Alexandria, functional PBE-GGA.

## Properties
Energy of formation (meV/atom): -159.6
Spin magnetization (μB per cell): 0.000

Geometry as CIF:
```
data_ScInHg2
_symmetry_space_group_name_H-M 'P 1 m 1'
_symmetry_Int_Tables_number 6
_cell_length_a 3.219
_cell_length_b 4.761
_cell_length_c 6.127
_cell_angle_alpha 90.00
_cell_angle_beta 92.05
_cell_angle_gamma 90.00
loop_
_symmetry_equiv_pos_as_xyz
'x,y,z'
'x,-y,z'
loop_
_atom_site_label
_atom_site_type_symbol
_atom_site_fract_x
_atom_site_fract_y
_atom_site_fract_z
Sc1 Sc 0.000 0.000 0.000
In1 In 0.527 0.500 0.242
Hg1 Hg 0.474 0.500 0.775
Hg2 Hg 0.500 0.000 0.507
```